*P*
This record from Alexandria describes a relaxed structure of TlVNF2. The functional is GGA+U.

```
TlVNF2
1.0
4.274 0.000 0.000
0.000 4.274 0.000
0.000 0.000 3.877
Tl V N F
1 1 1 2
Cartesian
0.000 0.000 0.000
2.137 2.137 1.938
2.137 2.137 0.000
0.000 2.137 1.938
2.137 0.000 1.938
```

Calculated values
Its magnetization is 1.01 μB per cell. As for the space group: No. 123.



*Q*
This record from Alexandria describes a relaxed structure of TlVNF2. The functional is GGA+U.

```
TlVNF2
1.0
4.467 0.000 0.000
0.000 4.467 0.000
0.000 0.000 4.258
Tl V N F
1 1 1 2
Cartesian
0.000 0.000 0.000
2.234 2.234 2.129
0.000 0.000 2.129
0.000 2.234 0.000
2.234 0.000 0.000
```

Calculated values
Its magnetization is 2.95 μB per cell. As for the space group: No. 123.



Stability verdict: *P*, ahead by 1168 meV/atom



*P*
This record from Alexandria describes a relaxed structure of TlVN2F. The functional is GGA+U.

```
TlVN2F
1.0
4.294 0.000 0.000
0.000 4.294 0.000
0.000 0.000 4.434
Tl V N F
1 1 2 1
Cartesian
0.000 0.000 0.000
2.147 2.147 2.217
0.000 2.147 0.000
2.147 0.000 0.000
0.000 0.000 2.217
```

Calculated values
Its magnetization is 1.50 μB per cell. As for the space group: No. 123.



*Q*
This record from Alexandria describes a relaxed structure of TlVN2F. The functional is GGA+U.

```
TlVN2F
1.0
3.901 0.000 0.000
0.000 3.901 0.000
0.000 0.000 4.216
Tl V N F
1 1 2 1
Cartesian
0.000 0.000 0.000
1.950 1.950 2.108
0.000 1.950 2.108
1.950 0.000 2.108
1.950 1.950 0.000
```

Calculated values
Its magnetization is 0.00 μB per cell. As for the space group: No. 123.



Stability verdict: *Q*, ahead by 1295 meV/atom



*P*
This record from Alexandria describes a relaxed structure of VNF2. The functional is GGA+U.

```
VNF2
1.0
0.000 2.726 2.726
2.726 0.000 2.726
2.726 2.726 0.000
V N F
1 1 2
Cartesian
0.000 0.000 0.000
2.726 2.726 2.726
1.363 1.363 1.363
4.089 4.089 4.089
```

Calculated values
Its magnetization is 0.00 μB per cell. As for the space group: No. 225.



*Q*
This record from Alexandria describes a relaxed structure of VNF2. The functional is GGA+U.

```
VNF2
1.0
1.673 0.966 8.722
-1.673 0.966 8.722
0.000 -1.932 8.722
V N F
1 1 2
Cartesian
0.000 0.000 0.000
0.000 0.000 13.084
0.000 0.000 1.767
0.000 0.000 24.401
```

Calculated values
Its magnetization is 5.05 μB per cell. As for the space group: No. 166.



*R*
This record from Alexandria describes a relaxed structure of VNF2. The functional is GGA+U.

```
VNF2
1.0
-1.617 1.617 7.247
1.617 -1.617 7.247
1.617 1.617 -7.247
V N F
2 2 4
Cartesian
0.000 0.000 0.000
0.000 1.617 3.623
1.617 0.000 3.623
0.000 0.000 7.247
2.426 0.733 -1.812
0.733 0.809 1.812
-0.809 0.884 5.435
0.884 0.809 9.058
```

Calculated values
Its magnetization is 4.00 μB per cell. As for the space group: No. 122.



Stability verdict: *R*, ahead by 229 meV/atom



*P*
This record from Alexandria describes a relaxed structure of VWN2F. The functional is GGA+U.

```
VWN2F
1.0
3.952 0.000 0.000
0.000 3.952 0.000
0.000 0.000 3.755
V W N F
1 1 2 1
Cartesian
0.000 0.000 0.000
1.976 1.976 1.877
0.000 1.976 0.000
1.976 0.000 0.000
0.000 0.000 1.877
```

Calculated values
Its magnetization is 4.00 μB per cell. As for the space group: No. 123.



*Q*
This record from Alexandria describes a relaxed structure of VWN2F. The functional is GGA+U.

```
VWN2F
1.0
4.041 0.000 0.000
0.000 4.041 0.000
0.000 0.000 4.045
V W N F
1 1 2 1
Cartesian
0.000 0.000 0.000
2.021 2.021 2.022
0.000 2.021 2.022
2.021 0.000 2.022
2.021 2.021 0.000
```

Calculated values
Its magnetization is 4.00 μB per cell. As for the space group: No. 123.



Stability verdict: *Q*, ahead by 188 meV/atom



*P*
This record from Alexandria describes a relaxed structure of VZnNF2. The functional is GGA+U.

```
VZnNF2
1.0
3.991 0.000 0.000
0.000 3.991 0.000
0.000 0.000 3.932
V Zn N F
1 1 1 2
Cartesian
0.000 0.000 0.000
1.996 1.996 1.966
0.000 0.000 1.966
0.000 1.996 0.000
1.996 0.000 0.000
```

Calculated values
Its magnetization is 1.68 μB per cell. As for the space group: No. 123.



*Q*
This record from Alexandria describes a relaxed structure of VZnNF2. The functional is GGA+U.

```
VZnNF2
1.0
3.855 0.000 0.000
0.000 3.855 0.000
0.000 0.000 4.238
V Zn N F
1 1 1 2
Cartesian
0.000 0.000 0.000
1.927 1.927 2.119
1.927 1.927 0.000
0.000 1.927 2.119
1.927 0.000 2.119
```

Calculated values
Its magnetization is 2.16 μB per cell. As for the space group: No. 123.



Stability verdict: *P*, ahead by 479 meV/atom



*P*
This record from Alexandria describes a relaxed structure of VZnN2F. The functional is GGA+U.

```
VZnN2F
1.0
3.850 0.000 0.000
0.000 3.850 0.000
0.000 0.000 3.989
V Zn N F
1 1 2 1
Cartesian
0.000 0.000 0.000
1.925 1.925 1.994
0.000 1.925 1.994
1.925 0.000 1.994
1.925 1.925 0.000
```

Calculated values
Its magnetization is 1.51 μB per cell. As for the space group: No. 123.



*Q*
This record from Alexandria describes a relaxed structure of VZnN2F. The functional is GGA+U.

```
VZnN2F
1.0
3.843 0.000 0.000
0.000 3.843 0.000
0.000 0.000 3.855
V Zn N F
1 1 2 1
Cartesian
0.000 0.000 0.000
1.921 1.921 1.928
0.000 1.921 0.000
1.921 0.000 0.000
0.000 0.000 1.928
```

Calculated values
Its magnetization is 0.00 μB per cell. As for the space group: No. 123.



Stability verdict: *Q*, ahead by 637 meV/atom



*P*
This record from Alexandria describes a relaxed structure of ZrVNF2. The functional is GGA+U.

```
ZrVNF2
1.0
3.856 0.000 0.000
0.000 3.856 0.000
0.000 0.000 4.347
Zr V N F
1 1 1 2
Cartesian
0.000 0.000 0.000
1.928 1.928 2.174
1.928 1.928 0.000
0.000 1.928 2.174
1.928 0.000 2.174
```

Calculated values
Its magnetization is 3.79 μB per cell. As for the space group: No. 123.



*Q*
This record from Alexandria describes a relaxed structure of ZrVNF2. The functional is GGA+U.

```
ZrVNF2
1.0
4.219 0.000 0.000
0.000 4.219 0.000
0.000 0.000 4.276
Zr V N F
1 1 1 2
Cartesian
0.000 0.000 0.000
2.109 2.109 2.138
0.000 0.000 2.138
0.000 2.109 0.000
2.109 0.000 0.000
```

Calculated values
Its magnetization is 3.96 μB per cell. As for the space group: No. 123.



Stability verdict: *Q*, ahead by 206 meV/atom



*P*
This record from Alexandria describes a relaxed structure of WNF3. The functional is GGA+U.

```
WNF3
1.0
4.253 0.000 0.000
0.000 4.253 0.000
0.000 0.000 4.253
W N F
1 1 3
Cartesian
0.000 0.000 0.000
2.127 2.127 2.127
0.000 0.000 2.127
0.000 2.127 0.000
2.127 0.000 0.000
```

Calculated values
Its magnetization is 6.00 μB per cell. As for the space group: No. 221.



*Q*
This record from Alexandria describes a relaxed structure of WNF3. The functional is GGA+U.

```
WNF3
1.0
3.967 0.000 0.000
0.000 3.967 0.000
0.000 0.000 3.967
W N F
1 1 3
Cartesian
0.000 0.000 0.000
1.984 1.984 1.984
0.000 1.984 1.984
1.984 0.000 1.984
1.984 1.984 0.000
```

Calculated values
Its magnetization is 0.54 μB per cell. As for the space group: No. 221.



Stability verdict: *P*, ahead by 1998 meV/atom



*P*
This record from Alexandria describes a relaxed structure of W2N2F. The functional is GGA+U.

```
W2N2F
1.0
6.270 0.000 0.000
0.000 6.270 0.000
0.000 0.000 2.776
W N F
4 4 2
Cartesian
0.928 2.207 0.000
2.207 5.342 0.000
4.063 0.928 0.000
5.342 4.063 0.000
0.907 4.042 1.388
2.229 0.907 1.388
4.042 5.364 1.388
5.364 2.229 1.388
0.000 0.000 0.000
3.135 3.135 0.000
```

Calculated values
Its magnetization is 3.52 μB per cell. As for the space group: No. 127.



*Q*
This record from Alexandria describes a relaxed structure of W2N2F. The functional is GGA+U.

```
W2N2F
1.0
-1.936 1.936 4.066
1.936 -1.936 4.066
1.936 1.936 -4.066
W N F
2 2 1
Cartesian
0.000 0.000 1.244
0.000 0.000 6.889
1.936 0.000 2.033
0.000 1.936 2.033
0.000 0.000 4.066
```

Calculated values
Its magnetization is 0.00 μB per cell. As for the space group: No. 139.



Stability verdict: *Q*, ahead by 51 meV/atom



*P*
This record from Alexandria describes a relaxed structure of ZnWNF2. The functional is GGA+U.

```
ZnWNF2
1.0
3.661 0.000 0.000
0.000 3.661 0.000
0.000 0.000 4.983
Zn W N F
1 1 1 2
Cartesian
0.000 0.000 0.000
1.830 1.830 2.492
0.000 0.000 2.492
0.000 1.830 0.000
1.830 0.000 0.000
```

Calculated values
Its magnetization is 3.00 μB per cell. As for the space group: No. 123.



*Q*
This record from Alexandria describes a relaxed structure of ZnWNF2. The functional is GGA+U.

```
ZnWNF2
1.0
4.288 0.000 0.000
0.000 4.288 0.000
0.000 0.000 4.004
Zn W N F
1 1 1 2
Cartesian
0.000 0.000 0.000
2.144 2.144 2.002
2.144 2.144 0.000
0.000 2.144 2.002
2.144 0.000 2.002
```

Calculated values
Its magnetization is 1.60 μB per cell. As for the space group: No. 123.



Stability verdict: *Q*, ahead by 517 meV/atom



*P*
This record from Alexandria describes a relaxed structure of ZrWNF2. The functional is GGA+U.

```
ZrWNF2
1.0
4.159 0.000 0.000
0.000 4.159 0.000
0.000 0.000 4.361
Zr W N F
1 1 1 2
Cartesian
0.000 0.000 0.000
2.079 2.079 2.181
2.079 2.079 0.000
0.000 2.079 2.181
2.079 0.000 2.181
```

Calculated values
Its magnetization is 4.85 μB per cell. As for the space group: No. 123.



*Q*
This record from Alexandria describes a relaxed structure of ZrWNF2. The functional is GGA+U.

```
ZrWNF2
1.0
4.254 0.000 0.000
0.000 4.254 0.000
0.000 0.000 4.343
Zr W N F
1 1 1 2
Cartesian
0.000 0.000 0.000
2.127 2.127 2.172
0.000 0.000 2.172
0.000 2.127 0.000
2.127 0.000 0.000
```

Calculated values
Its magnetization is 4.72 μB per cell. As for the space group: No. 123.



Stability verdict: *Q*, ahead by 442 meV/atom